Material: ReNi3
Method: DFT, GGA-PBEsol
State: optimized geometry

POSCAR file:
```
ReNi3
1.0
3.526 0.000 0.000
0.000 3.526 0.000
-1.763 -1.763 3.632
Ni Re
3 1
Cartesian
1.763 0.000 1.816
0.000 1.763 1.816
1.763 1.763 0.000
0.000 0.000 0.000
```

Theoretical density, g/cm³: 13.3
Energy of formation, eV/atom: 0.006
DOS at the Fermi energy, states/eV per atom: 0.81
Magnetization, Bohr magnetons per cell: 0.00



Material: Re3Ni
Method: DFT, GGA-PBEsol
State: optimized geometry

POSCAR file:
```
Re3Ni
1.0
-3.258 2.718 0.839
-2.501 -3.521 1.697
2.036 0.923 4.917
Ni Re
2 6
Cartesian
-1.673 -2.355 1.135
-1.439 0.655 3.440
1.105 0.092 3.992
-2.464 0.183 0.986
-0.647 -1.883 3.588
0.075 -0.375 1.506
-3.187 -1.326 3.069
-2.180 -0.869 5.499
```

Theoretical density, g/cm³: 18.9
Energy of formation, eV/atom: -0.094
DOS at the Fermi energy, states/eV per atom: 0.47
Magnetization, Bohr magnetons per cell: 0.00



Material: ReNi4
Method: DFT, GGA-PBEsol
State: optimized geometry

POSCAR file:
```
ReNi4
1.0
3.526 0.000 0.000
1.763 3.965 0.000
1.763 0.000 3.965
Ni Re
4 1
Cartesian
3.526 0.779 2.379
1.763 1.587 0.779
3.526 3.186 1.587
5.289 2.379 3.186
0.000 0.000 0.000
```

Theoretical density, g/cm³: 12.6
Energy of formation, eV/atom: -0.078
DOS at the Fermi energy, states/eV per atom: 0.76
Magnetization, Bohr magnetons per cell: 0.00



Material: ReNi3
Method: DFT, GGA-PBEsol
State: optimized geometry

POSCAR file:
```
ReNi3
1.0
-3.526 1.549 1.543
0.437 -2.516 3.523
2.587 3.629 2.270
Ni Re
6 2
Cartesian
0.547 1.393 5.431
-1.614 -0.085 1.975
-0.754 -0.433 4.288
0.721 0.506 1.141
2.007 2.309 2.269
1.581 0.158 3.454
0.289 -1.665 2.331
-0.322 1.738 3.098
```

Theoretical density, g/cm³: 13.3
Energy of formation, eV/atom: -0.027
DOS at the Fermi energy, states/eV per atom: 0.84
Magnetization, Bohr magnetons per cell: 0.00



> Which of these has the highest DOS at the Fermi energy?

number 4



> What is the formula in the second record?

Re3Ni